Material: CaGa2Cu2
Method: DFT, PBE
State: relaxed

Unit cell a=4.2844 b=4.2844 c=9.9471 alpha=90.00 beta=90.00 gamma=90.00
Last column: nearest neighbours and their distance in Å.
Positions (direct):
Ca  0.0000  0.0000  0.0000  8 Cu 3.28, 8 Ga 3.29
Ca  0.5000  0.5000  0.5000  8 Cu 3.28, 8 Ga 3.29
Ga  0.0000  0.0000  0.3707  4 Cu 2.46, 1 Ga 2.57
Ga  0.0000  0.0000  0.6293  4 Cu 2.46, 1 Ga 2.57
Ga  0.5000  0.5000  0.1293  4 Cu 2.46, 1 Ga 2.57
Ga  0.5000  0.5000  0.8707  4 Cu 2.46, 1 Ga 2.57
Cu  0.0000  0.5000  0.2500  4 Ga 2.46
Cu  0.0000  0.5000  0.7500  4 Ga 2.46
Cu  0.5000  0.0000  0.2500  4 Ga 2.46
Cu  0.5000  0.0000  0.7500  4 Ga 2.46

Computed properties:
Formation energy from the elements = -0.307 eV per atom
Calculated volume = 18.3 Å³/atom
E = -3.5567 eV per atom